one.
A plane-wave DFT calculation with PBE-GGA was carried out for a geometry-optimized Nd4Sm5Y2 structure.

Summary:
ρ: 6.43 g/cm³

Cell: 12.7536 12.7536 12.7536 Å, 164.03 136.97 46.18°
Last column: nearest neighbours and their distance in Å.
Sites, in units of the cell vectors:
Nd 0.0966 0.0966 0.0000  1 Y 3.14, 4 Nd 3.44
Nd 0.2015 0.5000 0.7015  4 Sm 3.31-3.60, 6 Nd 3.44-3.54
Nd 0.7985 0.5000 0.2985  4 Sm 3.31-3.60, 6 Nd 3.44-3.54
Nd 0.9034 0.9034 0.0000  1 Y 3.14, 4 Nd 3.44
Sm 0.1514 0.3518 0.7995  1 Y 3.41, 3 Nd 3.53-3.60, 3 Sm 3.54-3.75
Sm 0.4477 0.6482 0.7995  1 Y 3.41, 3 Nd 3.53-3.60, 3 Sm 3.54-3.75
Sm 0.5000 0.0000 0.5000  4 Nd 3.31, 2 Sm 3.54
Sm 0.5523 0.3518 0.2005  1 Y 3.41, 3 Nd 3.53-3.60, 3 Sm 3.54-3.75
Sm 0.8486 0.6482 0.2005  1 Y 3.41, 3 Nd 3.53-3.60, 3 Sm 3.54-3.75
Y 0.2303 0.2303 0.0000  1 Nd 3.14, 2 Sm 3.41
Y 0.7697 0.7697 0.0000  1 Nd 3.14, 2 Sm 3.41

---

two.
A plane-wave DFT calculation with PBE-GGA was carried out for a geometry-optimized Nd4Sm5Y2 structure.

Summary:
ρ: 6.54 g/cm³

Cell: 12.3109 12.3109 8.8083 Å, 94.40 94.40 16.71°
Last column: nearest neighbours and their distance in Å.
Sites, in units of the cell vectors:
Nd 0.0408 0.0408 0.3453  3 Nd 3.50-3.58, 4 Sm 3.54-3.60, 4 Y 3.59-3.68
Nd 0.2743 0.2743 0.1736  1 Y 3.47, 6 Sm 3.56-3.65, 4 Nd 3.58-3.66
Nd 0.7257 0.7257 0.8264  1 Y 3.47, 6 Sm 3.56-3.65, 4 Nd 3.58-3.66
Nd 0.9592 0.9592 0.6547  3 Nd 3.50-3.58, 4 Sm 3.54-3.60, 4 Y 3.59-3.68
Sm 0.1304 0.1304 0.0473  4 Nd 3.54-3.61, 5 Sm 3.58-3.89, 2 Y 3.64
Sm 0.1848 0.1848 0.4745  4 Nd 3.56-3.65, 5 Sm 3.58-3.89, 2 Y 3.66
Sm 0.5000 0.5000 0.0000  2 Y 3.54, 6 Sm 3.58-3.64, 4 Nd 3.60
Sm 0.8152 0.8152 0.5255  4 Nd 3.56-3.65, 5 Sm 3.58-3.89, 2 Y 3.66
Sm 0.8696 0.8696 0.9527  4 Nd 3.54-3.61, 5 Sm 3.58-3.89, 2 Y 3.64
Y 0.4125 0.4125 0.3025  5 Nd 3.47-3.68, 5 Sm 3.54-3.66, 2 Y 3.58
Y 0.5875 0.5875 0.6975  5 Nd 3.47-3.68, 5 Sm 3.54-3.66, 2 Y 3.58

---

two ends up most stable, edging out the next structure by 143 meV per atom.